*w*
## Co2CuRe (meta-GGA SCAN)

Data for Co2CuRe at its PBEsol-relaxed geometry.

total magnetic moment: 0.0 μB/f.u.

Lattice parameters (Å, degrees): 3.4803 3.4803 7.4906 90.00 90.00 90.00
Closest atoms and distances in Å follow each position.
Fractional coordinates of all 8 atoms:
Co 0.0000 0.0000 0.0000  4 Re 2.46, 4 Co 2.56, 4 Cu 2.56
Co 0.0000 0.5000 0.2500  4 Cu 2.46, 4 Co 2.56, 4 Re 2.56
Co 0.5000 0.0000 0.7500  4 Cu 2.46, 4 Re 2.56, 4 Co 2.56
Co 0.5000 0.5000 0.5000  4 Re 2.46, 4 Co 2.56, 4 Cu 2.56
Cu 0.0000 0.5000 0.7500  8 Co 2.46-2.56, 4 Re 2.56
Cu 0.5000 0.0000 0.2500  8 Co 2.46-2.56, 4 Re 2.56
Re 0.0000 0.0000 0.5000  8 Co 2.46-2.56, 4 Cu 2.56
Re 0.5000 0.5000 0.0000  8 Co 2.46-2.56, 4 Cu 2.56

*x*
## Co2CuRe (meta-GGA SCAN)

Data for Co2CuRe at its PBEsol-relaxed geometry.

total magnetic moment: 3.2 μB/f.u.

Lattice parameters (Å, degrees): 2.9208 2.9208 5.4358 90.00 90.00 90.00
Closest atoms and distances in Å follow each position.
Fractional coordinates of all 4 atoms:
Co 0.0000 0.0000 0.2400  4 Cu 2.44, 4 Re 2.50, 1 Co 2.61
Co 0.0000 0.0000 0.7600  4 Cu 2.44, 4 Re 2.50, 1 Co 2.61
Cu 0.5000 0.5000 0.0000  8 Co 2.44, 2 Re 2.72
Re 0.5000 0.5000 0.5000  8 Co 2.50, 2 Cu 2.72

*y*
## Co2CuRe (meta-GGA SCAN)

Data for Co2CuRe at its PBEsol-relaxed geometry.

total magnetic moment: 4.1 μB/f.u.

Lattice parameters (Å, degrees): 5.0658 8.2045 2.4897 90.00 113.75 90.00
Closest atoms and distances in Å follow each position.
Fractional coordinates of all 8 atoms:
Co 0.2500 0.2500 0.0000  2 Re 2.47, 2 Cu 2.47, 6 Co 2.49-2.74
Co 0.2500 0.7500 0.0000  2 Re 2.47, 2 Cu 2.47, 6 Co 2.49-2.74
Co 0.7500 0.2500 0.0000  2 Re 2.47, 2 Cu 2.47, 6 Co 2.49-2.74
Co 0.7500 0.7500 0.0000  2 Re 2.47, 2 Cu 2.47, 6 Co 2.49-2.74
Cu 0.0000 0.0000 0.5000  4 Co 2.47, 2 Cu 2.49, 4 Re 2.53-2.74
Cu 0.5000 0.5000 0.5000  4 Co 2.47, 2 Cu 2.49, 4 Re 2.53-2.74
Re 0.0000 0.5000 0.5000  4 Co 2.47, 2 Re 2.49, 4 Cu 2.53-2.74
Re 0.5000 0.0000 0.5000  4 Co 2.47, 2 Re 2.49, 4 Cu 2.53-2.74

*z*
## Co2CuRe (meta-GGA SCAN)

Data for Co2CuRe at its PBEsol-relaxed geometry.

total magnetic moment: 0.0 μB/f.u.

Lattice parameters (Å, degrees): 2.5892 3.4747 5.0927 90.00 90.00 90.00
Closest atoms and distances in Å follow each position.
Fractional coordinates of all 4 atoms:
Co 0.0000 0.0000 0.2486  4 Cu 2.51, 4 Re 2.52, 4 Co 2.53-2.59
Co 0.0000 0.0000 0.7514  4 Cu 2.51, 4 Re 2.52, 4 Co 2.53-2.59
Cu 0.5000 0.5000 0.0000  8 Co 2.51, 2 Re 2.55, 2 Cu 2.59
Re 0.5000 0.5000 0.5000  8 Co 2.52, 2 Cu 2.55, 2 Re 2.59

It is *w* that is the least stable of them.

*w*
## Co2CuRu (meta-GGA SCAN)

Data for Co2CuRu at its PBEsol-relaxed geometry.

total magnetic moment: 4.8 μB/f.u.

Lattice parameters (Å, degrees): 2.6642 4.1969 8.4264 90.00 90.00 90.00
Closest atoms and distances in Å follow each position.
Fractional coordinates of all 8 atoms:
Co 0.0000 0.0000 0.0000  6 Co 2.36-2.49, 2 Ru 2.54
Co 0.0000 0.5000 0.2312  6 Co 2.36-2.49, 2 Cu 2.47
Co 0.5000 0.0000 0.2312  6 Co 2.36-2.49, 2 Cu 2.47
Co 0.5000 0.5000 0.0000  6 Co 2.36-2.49, 2 Ru 2.54
Cu 0.0000 0.0000 0.4778  2 Co 2.47, 6 Cu 2.49-2.66, 2 Ru 2.61
Cu 0.5000 0.5000 0.4778  2 Co 2.47, 6 Cu 2.49-2.66, 2 Ru 2.61
Ru 0.0000 0.5000 0.7437  6 Ru 2.49-2.66, 2 Co 2.54, 2 Cu 2.61
Ru 0.5000 0.0000 0.7437  6 Ru 2.49-2.66, 2 Co 2.54, 2 Cu 2.61

*x*
## Co2CuRu (meta-GGA SCAN)

Data for Co2CuRu at its PBEsol-relaxed geometry.

total magnetic moment: 4.4 μB/f.u.

Lattice parameters (Å, degrees): 8.3375 2.5230 4.3850 90.00 99.52 90.00
Closest atoms and distances in Å follow each position.
Fractional coordinates of all 8 atoms:
Co 0.2485 0.0000 0.2454  6 Co 2.50-2.56, 3 Ru 2.51, 3 Cu 2.51-2.54
Co 0.2515 0.5000 0.7546  6 Co 2.50-2.56, 3 Ru 2.51, 3 Cu 2.51-2.54
Co 0.7485 0.5000 0.2454  6 Co 2.50-2.56, 3 Ru 2.51, 3 Cu 2.51-2.54
Co 0.7515 0.0000 0.7546  6 Co 2.50-2.56, 3 Ru 2.51, 3 Cu 2.51-2.54
Cu 0.0000 0.0000 0.5000  6 Co 2.51-2.54, 2 Cu 2.52, 4 Ru 2.53
Cu 0.5000 0.5000 0.5000  6 Co 2.51-2.54, 2 Cu 2.52, 4 Ru 2.53
Ru 0.0000 0.5000 0.0000  6 Co 2.51, 2 Ru 2.52, 4 Cu 2.53
Ru 0.5000 0.0000 0.0000  6 Co 2.51, 2 Ru 2.52, 4 Cu 2.53

*y*
## Co2CuRu (meta-GGA SCAN)

Data for Co2CuRu at its PBEsol-relaxed geometry.

total magnetic moment: 4.1 μB/f.u.

Lattice parameters (Å, degrees): 2.5494 2.5494 24.6003 90.00 90.00 120.00
Closest atoms and distances in Å follow each position.
Fractional coordinates of all 12 atoms:
Co 0.0000 0.0000 0.0000  9 Co 2.41-2.55, 3 Cu 2.52
Co 0.0000 0.0000 0.2558  9 Co 2.41-2.55, 3 Ru 2.52
Co 0.3333 0.6667 0.6667  9 Co 2.41-2.55, 3 Cu 2.52
Co 0.3333 0.6667 0.9224  9 Co 2.41-2.55, 3 Ru 2.52
Co 0.6667 0.3333 0.3333  9 Co 2.41-2.55, 3 Cu 2.52
Co 0.6667 0.3333 0.5891  9 Co 2.41-2.55, 3 Ru 2.52
Cu 0.0000 0.0000 0.7498  3 Co 2.52, 6 Cu 2.55, 3 Ru 2.65
Cu 0.3333 0.6667 0.4165  3 Co 2.52, 6 Cu 2.55, 3 Ru 2.65
Cu 0.6667 0.3333 0.0831  3 Co 2.52, 6 Cu 2.55, 3 Ru 2.65
Ru 0.0000 0.0000 0.5058  3 Co 2.52, 6 Ru 2.55, 3 Cu 2.65
Ru 0.3333 0.6667 0.1725  3 Co 2.52, 6 Ru 2.55, 3 Cu 2.65
Ru 0.6667 0.3333 0.8391  3 Co 2.52, 6 Ru 2.55, 3 Cu 2.65

It is *w* that is the least stable of them.

*w*
## Co2CuRu (meta-GGA SCAN)

Data for Co2CuRu at its PBEsol-relaxed geometry.

total magnetic moment: 5.6 μB/f.u.

Lattice parameters (Å, degrees): 3.6308 3.6308 3.5050 90.00 90.00 90.00
Closest atoms and distances in Å follow each position.
Fractional coordinates of all 4 atoms:
Co 0.0000 0.5000 0.0000  4 Ru 2.52, 4 Cu 2.52, 4 Co 2.57
Co 0.5000 0.0000 0.0000  4 Ru 2.52, 4 Cu 2.52, 4 Co 2.57
Cu 0.0000 0.0000 0.5000  8 Co 2.52, 4 Ru 2.57
Ru 0.5000 0.5000 0.5000  8 Co 2.52, 4 Cu 2.57

*x*
## Co2CuRu (meta-GGA SCAN)

Data for Co2CuRu at its PBEsol-relaxed geometry.

total magnetic moment: 5.2 μB/f.u.

Lattice parameters (Å, degrees): 5.7012 5.7012 5.7012 90.00 90.00 90.00
Closest atoms and distances in Å follow each position.
Fractional coordinates of all 16 atoms:
Co 0.2500 0.2500 0.2500  4 Ru 2.47, 4 Cu 2.47
Co 0.2500 0.2500 0.7500  4 Ru 2.47, 4 Cu 2.47
Co 0.2500 0.7500 0.2500  4 Ru 2.47, 4 Cu 2.47
Co 0.2500 0.7500 0.7500  4 Ru 2.47, 4 Cu 2.47
Co 0.7500 0.2500 0.2500  4 Ru 2.47, 4 Cu 2.47
Co 0.7500 0.2500 0.7500  4 Ru 2.47, 4 Cu 2.47
Co 0.7500 0.7500 0.2500  4 Ru 2.47, 4 Cu 2.47
Co 0.7500 0.7500 0.7500  4 Ru 2.47, 4 Cu 2.47
Cu 0.0000 0.0000 0.0000  8 Co 2.47
Cu 0.0000 0.5000 0.5000  8 Co 2.47
Cu 0.5000 0.0000 0.5000  8 Co 2.47
Cu 0.5000 0.5000 0.0000  8 Co 2.47
Ru 0.0000 0.0000 0.5000  8 Co 2.47
Ru 0.0000 0.5000 0.0000  8 Co 2.47
Ru 0.5000 0.0000 0.0000  8 Co 2.47
Ru 0.5000 0.5000 0.5000  8 Co 2.47

*y*
## Co2CuRu (meta-GGA SCAN)

Data for Co2CuRu at its PBEsol-relaxed geometry.

total magnetic moment: 3.9 μB/f.u.

Lattice parameters (Å, degrees): 2.5487 2.5487 24.4594 90.00 90.00 120.00
Closest atoms and distances in Å follow each position.
Fractional coordinates of all 12 atoms:
Co 0.0000 0.0000 0.2501  3 Cu 2.51, 3 Ru 2.52, 6 Co 2.55
Co 0.0000 0.0000 0.7499  3 Cu 2.51, 3 Ru 2.52, 6 Co 2.55
Co 0.3333 0.6667 0.4165  3 Cu 2.51, 3 Ru 2.52, 6 Co 2.55
Co 0.3333 0.6667 0.9168  3 Cu 2.51, 3 Ru 2.52, 6 Co 2.55
Co 0.6667 0.3333 0.0832  3 Cu 2.51, 3 Ru 2.52, 6 Co 2.55
Co 0.6667 0.3333 0.5835  3 Cu 2.51, 3 Ru 2.52, 6 Co 2.55
Cu 0.0000 0.0000 0.0000  6 Co 2.51, 6 Cu 2.55
Cu 0.3333 0.6667 0.6667  6 Co 2.51, 6 Cu 2.55
Cu 0.6667 0.3333 0.3333  6 Co 2.51, 6 Cu 2.55
Ru 0.0000 0.0000 0.5000  6 Co 2.52, 6 Ru 2.55
Ru 0.3333 0.6667 0.1667  6 Co 2.52, 6 Ru 2.55
Ru 0.6667 0.3333 0.8333  6 Co 2.52, 6 Ru 2.55

It is *y* that is the least stable of them.

*w*
## Sc2CoCu (meta-GGA SCAN)

Data for Sc2CoCu at its PBEsol-relaxed geometry.

total magnetic moment: 0.4 μB/f.u.

Lattice parameters (Å, degrees): 6.2804 6.2804 6.2804 90.00 90.00 90.00
Closest atoms and distances in Å follow each position.
Fractional coordinates of all 16 atoms:
Sc 0.2500 0.2500 0.2500  4 Co 2.72, 4 Cu 2.72
Sc 0.2500 0.2500 0.7500  4 Co 2.72, 4 Cu 2.72
Sc 0.2500 0.7500 0.2500  4 Co 2.72, 4 Cu 2.72
Sc 0.2500 0.7500 0.7500  4 Co 2.72, 4 Cu 2.72
Sc 0.7500 0.2500 0.2500  4 Co 2.72, 4 Cu 2.72
Sc 0.7500 0.2500 0.7500  4 Co 2.72, 4 Cu 2.72
Sc 0.7500 0.7500 0.2500  4 Co 2.72, 4 Cu 2.72
Sc 0.7500 0.7500 0.7500  4 Co 2.72, 4 Cu 2.72
Co 0.0000 0.0000 0.0000  8 Sc 2.72
Co 0.0000 0.5000 0.5000  8 Sc 2.72
Co 0.5000 0.0000 0.5000  8 Sc 2.72
Co 0.5000 0.5000 0.0000  8 Sc 2.72
Cu 0.0000 0.0000 0.5000  8 Sc 2.72
Cu 0.0000 0.5000 0.0000  8 Sc 2.72
Cu 0.5000 0.0000 0.0000  8 Sc 2.72
Cu 0.5000 0.5000 0.5000  8 Sc 2.72

*x*
## Sc2CoCu (meta-GGA SCAN)

Data for Sc2CoCu at its PBEsol-relaxed geometry.

total magnetic moment: 0.0 μB/f.u.

Lattice parameters (Å, degrees): 9.7386 2.9644 4.5169 90.00 105.72 90.00
Closest atoms and distances in Å follow each position.
Fractional coordinates of all 8 atoms:
Sc 0.0000 0.0000 0.0000  3 Cu 2.66-2.87, 4 Co 2.69-2.75, 3 Sc 2.95-2.96
Sc 0.2083 0.0000 0.6311  4 Cu 2.68-2.81, 3 Co 2.72-2.75, 3 Sc 2.95-2.96
Sc 0.5000 0.5000 0.0000  3 Cu 2.66-2.87, 4 Co 2.69-2.75, 3 Sc 2.95-2.96
Sc 0.7083 0.5000 0.6311  4 Cu 2.68-2.81, 3 Co 2.72-2.75, 3 Sc 2.95-2.96
Co 0.4651 0.0000 0.4882  2 Cu 2.56, 7 Sc 2.69-2.75
Co 0.9651 0.5000 0.4882  2 Cu 2.56, 7 Sc 2.69-2.75
Cu 0.2615 0.5000 0.1793  2 Co 2.56, 7 Sc 2.66-2.87
Cu 0.7615 0.0000 0.1793  2 Co 2.56, 7 Sc 2.66-2.87

It is *x* that is the least stable of them.

*w*
## Sc2CoCu (meta-GGA SCAN)

Data for Sc2CoCu at its PBEsol-relaxed geometry.

total magnetic moment: 0.0 μB/f.u.

Lattice parameters (Å, degrees): 3.7756 3.7756 8.6708 90.00 90.00 90.00
Closest atoms and distances in Å follow each position.
Fractional coordinates of all 8 atoms:
Sc 0.0000 0.0000 0.0000  4 Co 2.67, 4 Cu 2.87, 4 Sc 2.87
Sc 0.0000 0.5000 0.2500  4 Cu 2.67, 4 Sc 2.87, 4 Co 2.87
Sc 0.5000 0.0000 0.7500  4 Cu 2.67, 4 Co 2.87, 4 Sc 2.87
Sc 0.5000 0.5000 0.5000  4 Co 2.67, 4 Cu 2.87, 4 Sc 2.87
Co 0.0000 0.0000 0.5000  8 Sc 2.67-2.87, 4 Cu 2.87
Co 0.5000 0.5000 0.0000  8 Sc 2.67-2.87, 4 Cu 2.87
Cu 0.0000 0.5000 0.7500  8 Sc 2.67-2.87, 4 Co 2.87
Cu 0.5000 0.0000 0.2500  8 Sc 2.67-2.87, 4 Co 2.87

*x*
## Sc2CoCu (meta-GGA SCAN)

Data for Sc2CoCu at its PBEsol-relaxed geometry.

total magnetic moment: 0.8 μB/f.u.

Lattice parameters (Å, degrees): 4.4449 4.4449 3.1323 90.00 90.00 90.00
Closest atoms and distances in Å follow each position.
Fractional coordinates of all 4 atoms:
Sc 0.0000 0.5000 0.0000  4 Co 2.72, 4 Cu 2.72
Sc 0.5000 0.0000 0.0000  4 Co 2.72, 4 Cu 2.72
Co 0.0000 0.0000 0.5000  8 Sc 2.72
Cu 0.5000 0.5000 0.5000  8 Sc 2.72

It is *w* that is the least stable of them.